1.
# TeAs2SeN, optimized geometry, DFT PBE-GGA
# - raw total energy (eV per formula unit) = -20.2
data_TeAs2SeN
_cell_length_a 4.497
_cell_length_b 4.497
_cell_length_c 4.544
_cell_angle_alpha 90.00
_cell_angle_beta 90.00
_cell_angle_gamma 90.00
_space_group_name_H-M_alt 'P 4/m m m'
_space_group_IT_number 123
_space_group_name_Hall '-P 4 2'
loop_
_atom_site_label
_atom_site_type_symbol
_atom_site_fract_x
_atom_site_fract_y
_atom_site_fract_z
_atom_site_occupancy
Te1 Te 0.000 0.000 0.000 1
As1 As 0.000 0.500 0.500 1
Se1 Se 0.500 0.500 0.000 1
N1 N 0.500 0.500 0.500 1

2.
# CuTeRu2F, optimized geometry, DFT PBE-GGA
# - raw total energy (eV per formula unit) = -23.6
data_CuTeRu2F
_cell_length_a 4.885
_cell_length_b 4.885
_cell_length_c 4.219
_cell_angle_alpha 90.00
_cell_angle_beta 90.00
_cell_angle_gamma 90.00
_space_group_name_H-M_alt 'P 4/m m m'
_space_group_IT_number 123
_space_group_name_Hall '-P 4 2'
loop_
_atom_site_label
_atom_site_type_symbol
_atom_site_fract_x
_atom_site_fract_y
_atom_site_fract_z
_atom_site_occupancy
Cu1 Cu 0.000 0.000 0.000 1
Te1 Te 0.500 0.500 0.500 1
Ru1 Ru 0.000 0.500 0.500 1
F1 F 0.500 0.500 0.000 1

3.
# CuSb2RhI, optimized geometry, DFT PBE-GGA
# - raw total energy (eV per formula unit) = -18.3
data_CuSb2RhI
_cell_length_a 5.075
_cell_length_b 5.075
_cell_length_c 5.674
_cell_angle_alpha 90.00
_cell_angle_beta 90.00
_cell_angle_gamma 90.00
_space_group_name_H-M_alt 'P 4/m m m'
_space_group_IT_number 123
_space_group_name_Hall '-P 4 2'
loop_
_atom_site_label
_atom_site_type_symbol
_atom_site_fract_x
_atom_site_fract_y
_atom_site_fract_z
_atom_site_occupancy
Cu1 Cu 0.000 0.000 0.000 1
Sb1 Sb 0.000 0.500 0.500 1
Rh1 Rh 0.500 0.500 0.500 1
I1 I 0.500 0.500 0.000 1

4.
# SmHoHfTh, optimized geometry, DFT PBE-GGA
# - energy of formation (eV per atom) = 0.21
data_SmHoHfTh
_cell_length_a 7.752
_cell_length_b 7.752
_cell_length_c 7.752
_cell_angle_alpha 90.00
_cell_angle_beta 90.00
_cell_angle_gamma 90.00
_space_group_name_H-M_alt 'F -4 3 m'
_space_group_IT_number 216
_space_group_name_Hall 'F -4 2 3'
loop_
_atom_site_label
_atom_site_type_symbol
_atom_site_fract_x
_atom_site_fract_y
_atom_site_fract_z
_atom_site_occupancy
Sm1 Sm 0.000 0.000 0.000 1
Ho1 Ho 0.250 0.250 0.250 1
Hf1 Hf 0.250 0.250 0.750 1
Th1 Th 0.000 0.000 0.500 1

5.
# HfZrTeN2, optimized geometry, DFT PBE-GGA
# - raw total energy (eV per formula unit) = -36.5
data_HfZrTeN2
_cell_length_a 4.187
_cell_length_b 4.187
_cell_length_c 5.671
_cell_angle_alpha 90.00
_cell_angle_beta 90.00
_cell_angle_gamma 90.00
_space_group_name_H-M_alt 'P 4/m m m'
_space_group_IT_number 123
_space_group_name_Hall '-P 4 2'
loop_
_atom_site_label
_atom_site_type_symbol
_atom_site_fract_x
_atom_site_fract_y
_atom_site_fract_z
_atom_site_occupancy
Hf1 Hf 0.000 0.000 0.000 1
Zr1 Zr 0.500 0.500 0.500 1
Te1 Te 0.500 0.500 0.000 1
N1 N 0.000 0.500 0.500 1

6.
# SrTl2Ru, optimized geometry, DFT PBE-GGA
# - energy of formation (eV per atom) = 0.43
data_SrTl2Ru
_cell_length_a 7.406
_cell_length_b 7.406
_cell_length_c 7.406
_cell_angle_alpha 90.00
_cell_angle_beta 90.00
_cell_angle_gamma 90.00
_space_group_name_H-M_alt 'F -4 3 m'
_space_group_IT_number 216
_space_group_name_Hall 'F -4 2 3'
loop_
_atom_site_label
_atom_site_type_symbol
_atom_site_fract_x
_atom_site_fract_y
_atom_site_fract_z
_atom_site_occupancy
Sr1 Sr 0.000 0.000 0.000 1
Tl1 Tl 0.000 0.000 0.500 1
Tl2 Tl 0.250 0.250 0.750 1
Ru1 Ru 0.250 0.250 0.250 1

7.
# AlZnMo2, optimized geometry, DFT PBE-GGA
# - energy of formation (eV per atom) = 0.03
data_AlZnMo2
_cell_length_a 2.687
_cell_length_b 4.212
_cell_length_c 5.376
_cell_angle_alpha 90.00
_cell_angle_beta 90.00
_cell_angle_gamma 90.00
_space_group_name_H-M_alt 'P m m m'
_space_group_IT_number 47
loop_
_space_group_symop_operation_xyz
'x,y,z'
'-x,-y,-z'
'-x,-y,z'
'x,y,-z'
'x,-y,-z'
'-x,y,z'
'-x,y,-z'
'x,-y,z'
loop_
_atom_site_label
_atom_site_type_symbol
_atom_site_fract_x
_atom_site_fract_y
_atom_site_fract_z
_atom_site_occupancy
Al1 Al 0.000 0.000 0.000 1
Zn1 Zn 0.000 0.000 0.500 1
Mo1 Mo 0.500 0.500 0.247 1

8.
# Sm7Er4In, optimized geometry, DFT PBE-GGA
# - energy of formation (eV per atom) = 0.14
data_Sm7Er4In
_cell_length_a 16.327
_cell_length_b 5.939
_cell_length_c 9.250
_cell_angle_alpha 90.00
_cell_angle_beta 116.57
_cell_angle_gamma 90.00
_space_group_name_H-M_alt 'C 1 2/m 1'
_space_group_IT_number 12
loop_
_space_group_symop_operation_xyz
'x,y,z'
'-x,-y,-z'
'-x,y,-z'
'x,-y,z'
'x+1/2,y+1/2,z'
'-x+1/2,-y+1/2,-z'
'-x+1/2,y+1/2,-z'
'x+1/2,-y+1/2,z'
loop_
_atom_site_label
_atom_site_type_symbol
_atom_site_fract_x
_atom_site_fract_y
_atom_site_fract_z
_atom_site_occupancy
Sm1 Sm 0.000 0.000 0.000 1
Sm2 Sm 0.075 0.500 0.417 1
Sm3 Sm 0.203 0.500 0.215 1
Sm4 Sm 0.213 0.500 0.869 1
Er1 Er 0.077 0.000 0.692 1
Er2 Er 0.180 0.000 0.401 1
In1 In 0.000 0.500 0.000 1

9.
# U3Pa2O9, optimized geometry, DFT PBE-GGA
# - raw total energy (eV per formula unit) = -142.5
data_U3Pa2O9
_cell_length_a 3.854
_cell_length_b 3.854
_cell_length_c 27.193
_cell_angle_alpha 90.00
_cell_angle_beta 90.00
_cell_angle_gamma 90.00
_space_group_name_H-M_alt 'I -4 m 2'
_space_group_IT_number 119
_space_group_name_Hall 'I -4 -2'
loop_
_atom_site_label
_atom_site_type_symbol
_atom_site_fract_x
_atom_site_fract_y
_atom_site_fract_z
_atom_site_occupancy
U1 U 0.000 0.000 0.000 1
U2 U 0.000 0.000 0.402 1
Pa1 Pa 0.000 0.000 0.198 1
O1 O 0.000 0.500 0.049 1
O2 O 0.000 0.500 0.150 1
O3 O 0.000 0.500 0.250 1
O4 O 0.000 0.500 0.551 1
O5 O 0.000 0.500 0.654 1

10.
# RbGaBiTe3, optimized geometry, DFT PBE-GGA
# - raw total energy (eV per formula unit) = -20.1
data_RbGaBiTe3
_cell_length_a 9.802
_cell_length_b 4.874
_cell_length_c 10.619
_cell_angle_alpha 90.00
_cell_angle_beta 105.92
_cell_angle_gamma 90.00
_space_group_name_H-M_alt 'P 1 21/m 1'
_space_group_IT_number 11
loop_
_space_group_symop_operation_xyz
'x,y,z'
'-x,-y,-z'
'-x,y+1/2,-z'
'x,-y+1/2,z'
loop_
_atom_site_label
_atom_site_type_symbol
_atom_site_fract_x
_atom_site_fract_y
_atom_site_fract_z
_atom_site_occupancy
Rb1 Rb 0.200 0.250 0.238 1
Ga1 Ga 0.095 0.250 0.601 1
Bi1 Bi 0.334 0.750 0.869 1
Te1 Te 0.117 0.250 0.862 1
Te2 Te 0.196 0.750 0.536 1
Te3 Te 0.463 0.750 0.163 1

11.
# Tb3Dy2Ho3, optimized geometry, DFT PBE-GGA
# - energy of formation (eV per atom) = 0.02
data_Tb3Dy2Ho3
_cell_length_a 4.998
_cell_length_b 4.998
_cell_length_c 19.998
_cell_angle_alpha 90.00
_cell_angle_beta 90.00
_cell_angle_gamma 90.00
_space_group_name_H-M_alt 'I m m m'
_space_group_IT_number 71
_space_group_name_Hall '-I 2 2'
loop_
_atom_site_label
_atom_site_type_symbol
_atom_site_fract_x
_atom_site_fract_y
_atom_site_fract_z
_atom_site_occupancy
Tb1 Tb 0.000 0.000 0.000 1
Tb2 Tb 0.000 0.500 0.125 1
Dy1 Dy 0.000 0.000 0.250 1
Ho1 Ho 0.000 0.000 0.500 1
Ho2 Ho 0.000 0.500 0.375 1

12.
# TaAlGa2, optimized geometry, DFT PBE-GGA
# - energy of formation (eV per atom) = 0.27
data_TaAlGa2
_cell_length_a 7.231
_cell_length_b 7.231
_cell_length_c 5.409
_cell_angle_alpha 90.00
_cell_angle_beta 90.00
_cell_angle_gamma 90.00
_space_group_name_H-M_alt 'I -4 2 d'
_space_group_IT_number 122
_space_group_name_Hall 'I -4 2bw'
loop_
_atom_site_label
_atom_site_type_symbol
_atom_site_fract_x
_atom_site_fract_y
_atom_site_fract_z
_atom_site_occupancy
Ta1 Ta 0.000 0.000 0.000 1
Al1 Al 0.000 0.000 0.500 1
Ga1 Ga 0.236 0.250 0.625 1